A.
Crystalline LiTe3 at its relaxed geometry. Source: the Alexandria database, functional PBE-GGA.

Structure (CIF):
```
data_LiTe3
_chemical_formula_sum 'Li2 Te6'
_space_group_name_H-M_alt 'P 1'
_space_group_IT_number 1
_cell_length_a 6.054
_cell_length_b 6.054
_cell_length_c 6.054
_cell_angle_alpha 90.00
_cell_angle_beta 90.00
_cell_angle_gamma 90.00
loop_
_space_group_symop_operation_xyz
'x,y,z'
loop_
_atom_site_label
_atom_site_fract_x
_atom_site_fract_y
_atom_site_fract_z
Li1 0.000 0.000 0.000
Li2 0.500 0.500 0.500
Te1 0.000 0.250 0.500
Te2 0.000 0.750 0.500
Te3 0.250 0.500 0.000
Te4 0.500 0.000 0.250
Te5 0.500 0.000 0.750
Te6 0.750 0.500 0.000
```


B.
Crystalline LiTe3 at its relaxed geometry. Source: the Alexandria database, functional PBE-GGA.

Structure (CIF):
```
data_LiTe3
_chemical_formula_sum 'Li2 Te6'
_space_group_name_H-M_alt 'P 1'
_space_group_IT_number 1
_cell_length_a 6.386
_cell_length_b 6.386
_cell_length_c 6.494
_cell_angle_alpha 90.00
_cell_angle_beta 90.00
_cell_angle_gamma 120.00
loop_
_space_group_symop_operation_xyz
'x,y,z'
loop_
_atom_site_label
_atom_site_fract_x
_atom_site_fract_y
_atom_site_fract_z
Li1 0.333 0.667 0.250
Li2 0.667 0.333 0.750
Te1 0.170 0.341 0.750
Te2 0.170 0.830 0.750
Te3 0.341 0.170 0.250
Te4 0.659 0.830 0.750
Te5 0.830 0.170 0.250
Te6 0.830 0.659 0.250
```


C.
Crystalline LiTe3 at its relaxed geometry. Source: the Alexandria database, functional PBE-GGA.

Structure (CIF):
```
data_LiTe3
_chemical_formula_sum 'Li1 Te3'
_space_group_name_H-M_alt 'P 1'
_space_group_IT_number 1
_cell_length_a 5.362
_cell_length_b 5.362
_cell_length_c 5.362
_cell_angle_alpha 60.00
_cell_angle_beta 60.00
_cell_angle_gamma 60.00
loop_
_space_group_symop_operation_xyz
'x,y,z'
loop_
_atom_site_label
_atom_site_fract_x
_atom_site_fract_y
_atom_site_fract_z
Li1 0.000 0.000 0.000
Te1 0.250 0.250 0.250
Te2 0.500 0.500 0.500
Te3 0.750 0.750 0.750
```


D.
Crystalline LiTe3 at its relaxed geometry. Source: the Alexandria database, functional PBE-GGA.

Structure (CIF):
```
data_LiTe3
_chemical_formula_sum 'Li1 Te3'
_space_group_name_H-M_alt 'P 1'
_space_group_IT_number 1
_cell_length_a 3.143
_cell_length_b 6.363
_cell_length_c 6.072
_cell_angle_alpha 90.00
_cell_angle_beta 101.15
_cell_angle_gamma 90.00
loop_
_space_group_symop_operation_xyz
'x,y,z'
loop_
_atom_site_label
_atom_site_fract_x
_atom_site_fract_y
_atom_site_fract_z
Li1 0.000 0.000 0.000
Te1 0.480 0.500 0.756
Te2 0.500 0.000 0.500
Te3 0.520 0.500 0.244
```


Quick look at relative energies in meV/atom: A 107; B 0; C 136; D 9.


A.
Crystalline LiTe3 at its relaxed geometry. Source: the Alexandria database, functional PBE-GGA.

Structure (CIF):
```
data_LiTe3
_chemical_formula_sum 'Li1 Te3'
_space_group_name_H-M_alt 'P 1'
_space_group_IT_number 1
_cell_length_a 6.770
_cell_length_b 6.770
_cell_length_c 6.770
_cell_angle_alpha 143.32
_cell_angle_beta 54.14
_cell_angle_gamma 141.61
loop_
_space_group_symop_operation_xyz
'x,y,z'
loop_
_atom_site_label
_atom_site_fract_x
_atom_site_fract_y
_atom_site_fract_z
Li1 0.000 0.000 0.000
Te1 0.173 0.497 0.676
Te2 0.498 0.998 0.500
Te3 0.820 0.497 0.324
```


B.
Crystalline LiTe3 at its relaxed geometry. Source: the Alexandria database, functional PBE-GGA.

Structure (CIF):
```
data_LiTe3
_chemical_formula_sum 'Li1 Te3'
_space_group_name_H-M_alt 'P 1'
_space_group_IT_number 1
_cell_length_a 7.131
_cell_length_b 7.131
_cell_length_c 7.131
_cell_angle_alpha 36.23
_cell_angle_beta 36.23
_cell_angle_gamma 36.23
loop_
_space_group_symop_operation_xyz
'x,y,z'
loop_
_atom_site_label
_atom_site_fract_x
_atom_site_fract_y
_atom_site_fract_z
Li1 0.000 0.000 0.000
Te1 0.260 0.260 0.260
Te2 0.500 0.500 0.500
Te3 0.740 0.740 0.740
```


C.
Crystalline LiTe3 at its relaxed geometry. Source: the Alexandria database, functional PBE-GGA.

Structure (CIF):
```
data_LiTe3
_chemical_formula_sum 'Li4 Te12'
_space_group_name_H-M_alt 'P 1'
_space_group_IT_number 1
_cell_length_a 7.206
_cell_length_b 7.855
_cell_length_c 8.517
_cell_angle_alpha 90.00
_cell_angle_beta 90.00
_cell_angle_gamma 90.00
loop_
_space_group_symop_operation_xyz
'x,y,z'
loop_
_atom_site_label
_atom_site_fract_x
_atom_site_fract_y
_atom_site_fract_z
Li1 0.140 0.250 0.123
Li2 0.360 0.750 0.623
Li3 0.640 0.250 0.377
Li4 0.860 0.750 0.877
Te1 0.044 0.250 0.683
Te2 0.239 0.511 0.872
Te3 0.239 0.989 0.872
Te4 0.261 0.011 0.372
Te5 0.261 0.489 0.372
Te6 0.456 0.750 0.183
Te7 0.544 0.250 0.817
Te8 0.739 0.511 0.628
Te9 0.739 0.989 0.628
Te10 0.761 0.011 0.128
Te11 0.761 0.489 0.128
Te12 0.956 0.750 0.317
```


D.
Crystalline LiTe3 at its relaxed geometry. Source: the Alexandria database, functional PBE-GGA.

Structure (CIF):
```
data_LiTe3
_chemical_formula_sum 'Li1 Te3'
_space_group_name_H-M_alt 'P 1'
_space_group_IT_number 1
_cell_length_a 3.596
_cell_length_b 5.446
_cell_length_c 5.474
_cell_angle_alpha 90.00
_cell_angle_beta 90.00
_cell_angle_gamma 90.00
loop_
_space_group_symop_operation_xyz
'x,y,z'
loop_
_atom_site_label
_atom_site_fract_x
_atom_site_fract_y
_atom_site_fract_z
Li1 0.000 0.000 0.000
Te1 0.000 0.500 0.496
Te2 0.500 0.000 0.497
Te3 0.500 0.500 0.997
```


Quick look at relative energies in meV/atom: A 0; B 51; C 14; D 127.


A.
Crystalline Li2Te at its relaxed geometry. Source: the Alexandria database, functional PBE-GGA.

Structure (CIF):
```
data_Li2Te
_chemical_formula_sum 'Li4 Te2'
_space_group_name_H-M_alt 'P 1'
_space_group_IT_number 1
_cell_length_a 5.567
_cell_length_b 5.567
_cell_length_c 5.567
_cell_angle_alpha 60.00
_cell_angle_beta 60.00
_cell_angle_gamma 60.00
loop_
_space_group_symop_operation_xyz
'x,y,z'
loop_
_atom_site_label
_atom_site_fract_x
_atom_site_fract_y
_atom_site_fract_z
Li1 0.000 0.000 0.000
Li2 0.000 0.000 0.500
Li3 0.000 0.500 0.000
Li4 0.500 0.000 0.000
Te1 0.375 0.375 0.375
Te2 0.625 0.625 0.625
```


B.
Crystalline Li2Te at its relaxed geometry. Source: the Alexandria database, functional PBE-GGA.

Structure (CIF):
```
data_Li2Te
_chemical_formula_sum 'Li2 Te1'
_space_group_name_H-M_alt 'P 1'
_space_group_IT_number 1
_cell_length_a 4.902
_cell_length_b 4.902
_cell_length_c 4.902
_cell_angle_alpha 131.86
_cell_angle_beta 131.86
_cell_angle_gamma 70.46
loop_
_space_group_symop_operation_xyz
'x,y,z'
loop_
_atom_site_label
_atom_site_fract_x
_atom_site_fract_y
_atom_site_fract_z
Li1 0.158 0.158 0.000
Li2 0.842 0.842 0.000
Te1 0.500 0.500 0.000
```


C.
Crystalline Li2Te at its relaxed geometry. Source: the Alexandria database, functional PBE-GGA.

Structure (CIF):
```
data_Li2Te
_chemical_formula_sum 'Li2 Te1'
_space_group_name_H-M_alt 'P 1'
_space_group_IT_number 1
_cell_length_a 4.407
_cell_length_b 4.407
_cell_length_c 3.856
_cell_angle_alpha 90.00
_cell_angle_beta 90.00
_cell_angle_gamma 90.00
loop_
_space_group_symop_operation_xyz
'x,y,z'
loop_
_atom_site_label
_atom_site_fract_x
_atom_site_fract_y
_atom_site_fract_z
Li1 0.000 0.500 0.000
Li2 0.500 0.000 0.000
Te1 0.000 0.000 0.500
```


Quick look at relative energies in meV/atom: A 472; B 0; C 73.


A.
Crystalline Li3Te at its relaxed geometry. Source: the Alexandria database, functional PBE-GGA.

Structure (CIF):
```
data_Li3Te
_chemical_formula_sum 'Li3 Te1'
_space_group_name_H-M_alt 'P 1'
_space_group_IT_number 1
_cell_length_a 5.347
_cell_length_b 5.347
_cell_length_c 5.347
_cell_angle_alpha 90.00
_cell_angle_beta 90.00
_cell_angle_gamma 90.00
loop_
_space_group_symop_operation_xyz
'x,y,z'
loop_
_atom_site_label
_atom_site_fract_x
_atom_site_fract_y
_atom_site_fract_z
Li1 0.000 0.000 0.500
Li2 0.000 0.500 0.000
Li3 0.500 0.000 0.000
Te1 0.000 0.000 0.000
```


B.
Crystalline Li3Te at its relaxed geometry. Source: the Alexandria database, functional PBE-GGA.

Structure (CIF):
```
data_Li3Te
_chemical_formula_sum 'Li3 Te1'
_space_group_name_H-M_alt 'P 1'
_space_group_IT_number 1
_cell_length_a 3.861
_cell_length_b 3.875
_cell_length_c 5.763
_cell_angle_alpha 90.00
_cell_angle_beta 90.20
_cell_angle_gamma 90.00
loop_
_space_group_symop_operation_xyz
'x,y,z'
loop_
_atom_site_label
_atom_site_fract_x
_atom_site_fract_y
_atom_site_fract_z
Li1 0.000 0.000 0.000
Li2 0.497 0.500 0.718
Li3 0.503 0.500 0.282
Te1 0.000 0.000 0.500
```


Quick look at relative energies in meV/atom: A 83; B 0.